VASP calculation (GGA-PBE) on an optimized crystal structure of LaNd12Al4O3.

Calculated values
Calculated total energy   -5.30 eV per atom
Formation energy (no corrections)   -1361 kJ/mol of formula units

a = 8.7898 Å, b = 8.7898 Å, c = 8.7898 Å
α = 109.47°, β = 109.47°, γ = 109.47°
Sites, in units of the cell vectors:
La  0.0000  0.0000  0.0000
Nd  0.0000  0.2718  0.2718
Nd  0.0000  0.7282  0.7282
Nd  0.2500  0.5000  0.7500
Nd  0.2500  0.7500  0.5000
Nd  0.2718  0.0000  0.2718
Nd  0.2718  0.2718  0.0000
Nd  0.5000  0.2500  0.7500
Nd  0.5000  0.7500  0.2500
Nd  0.7282  0.0000  0.7282
Nd  0.7282  0.7282  0.0000
Nd  0.7500  0.2500  0.5000
Nd  0.7500  0.5000  0.2500
Al  0.0000  0.0000  0.5000
Al  0.0000  0.5000  0.0000
Al  0.5000  0.0000  0.0000
Al  0.5000  0.5000  0.5000
O  0.0000  0.5000  0.5000
O  0.5000  0.0000  0.5000
O  0.5000  0.5000  0.0000